Entry from the Alexandria database: a relaxed structure of NdGa2Cu4 (PBE).

Results
Calculated total energy ... -4.15 eV per atom
Formation energy ... -260 meV/atom

Cell and atoms, written as CIF:
```
data_NdGa2Cu4
_cell_length_a 7.608
_cell_length_b 7.608
_cell_length_c 3.897
_cell_angle_alpha 90.00
_cell_angle_beta 90.00
_cell_angle_gamma 90.00
_space_group_name_H-M_alt 'P 1'
_space_group_IT_number 1
loop_
_space_group_symop_operation_xyz
'x,y,z'
loop_
_atom_site_label
_atom_site_fract_x
_atom_site_fract_y
_atom_site_fract_z
Nd1 0.000 0.000 0.000
Nd2 0.500 0.500 0.500
Ga1 0.220 0.220 0.500
Ga2 0.280 0.720 0.000
Ga3 0.720 0.280 0.000
Ga4 0.780 0.780 0.500
Cu1 0.085 0.648 0.500
Cu2 0.148 0.415 0.000
Cu3 0.352 0.915 0.500
Cu4 0.415 0.148 0.000
Cu5 0.585 0.852 0.000
Cu6 0.648 0.085 0.500
Cu7 0.852 0.585 0.000
Cu8 0.915 0.352 0.500
```